No. 1
Density functional theory data (GGA-PBEsol) for Sc3HgF after structural relaxation.

Cell lengths 5.264, 5.264, 5.264 Å; angles 90.00, 90.00, 90.00 degrees
Fractional positions:
Sc: 0.000 0.000 0.500
Sc: 0.000 0.500 0.000
Sc: 0.500 0.000 0.000
Hg: 0.000 0.000 0.000
F: 0.500 0.500 0.500

No. 2
Density functional theory data (GGA-PBEsol) for ScTcHgF2 after structural relaxation.

Cell lengths 3.910, 3.910, 5.889 Å; angles 90.00, 90.00, 90.00 degrees
Fractional positions:
Sc: 0.000 0.000 0.000
Tc: 0.000 0.000 0.500
Hg: 0.500 0.500 0.500
F: 0.000 0.500 0.000
F: 0.500 0.000 0.000

No. 3
Density functional theory data (GGA-PBEsol) for HgSeF3 after structural relaxation.

Cell lengths 4.478, 4.478, 4.478 Å; angles 90.00, 90.00, 90.00 degrees
Fractional positions:
Hg: 0.000 0.000 0.000
Se: 0.500 0.500 0.500
F: 0.000 0.000 0.500
F: 0.000 0.500 0.000
F: 0.500 0.000 0.000

No. 4
Density functional theory data (GGA-PBEsol) for HgSeF2 after structural relaxation.

Cell lengths 5.506, 5.506, 5.506 Å; angles 104.45, 104.45, 120.07 degrees
Fractional positions:
Hg: 0.000 0.000 0.000
Hg: 0.750 0.250 0.500
Se: 0.250 0.750 0.500
Se: 0.500 0.500 0.000
F: 0.109 0.625 0.984
F: 0.375 0.359 0.484
F: 0.641 0.125 0.016
F: 0.875 0.891 0.516

No. 5
Density functional theory data (GGA-PBEsol) for YHgSeF2 after structural relaxation.

Cell lengths 4.281, 4.281, 5.732 Å; angles 90.00, 90.00, 90.00 degrees
Fractional positions:
Y: 0.000 0.000 0.000
Hg: 0.500 0.500 0.500
Se: 0.000 0.000 0.500
F: 0.000 0.500 0.000
F: 0.500 0.000 0.000

No. 6
Density functional theory data (GGA-PBEsol) for SiHgF2 after structural relaxation.

Cell lengths 8.701, 8.701, 8.701 Å; angles 18.60, 18.60, 18.60 degrees
Fractional positions:
Si: 0.000 0.000 0.000
Hg: 0.500 0.500 0.500
F: 0.065 0.065 0.065
F: 0.935 0.935 0.935

No. 7
Density functional theory data (GGA-PBEsol) for Si2HgF2 after structural relaxation.

Cell lengths 8.057, 8.057, 2.578 Å; angles 90.00, 90.00, 90.00 degrees
Fractional positions:
Si: 0.245 0.255 0.000
Si: 0.255 0.755 0.000
Si: 0.745 0.245 0.000
Si: 0.755 0.745 0.000
Hg: 0.000 0.000 0.500
Hg: 0.500 0.500 0.500
F: 0.117 0.383 0.500
F: 0.383 0.883 0.500
F: 0.617 0.117 0.500
F: 0.883 0.617 0.500

No. 8
Density functional theory data (GGA-PBEsol) for Sr2HgF2 after structural relaxation.

Cell lengths 7.436, 7.436, 7.436 Å; angles 148.36, 148.36, 45.36 degrees
Fractional positions:
Sr: 0.147 0.147 0.000
Sr: 0.853 0.853 0.000
Hg: 0.500 0.500 0.000
F: 0.250 0.750 0.500
F: 0.750 0.250 0.500

No. 9
Density functional theory data (GGA-PBEsol) for Ta2Hg2F11 after structural relaxation.

Cell lengths 12.095, 12.095, 14.542 Å; angles 123.98, 123.98, 36.31 degrees
Fractional positions:
Ta: 0.078 0.617 0.477
Ta: 0.089 0.701 0.868
Ta: 0.299 0.911 0.632
Ta: 0.383 0.922 0.023
Ta: 0.617 0.078 0.977
Ta: 0.701 0.089 0.368
Ta: 0.911 0.299 0.132
Ta: 0.922 0.383 0.523
Hg: 0.053 0.531 0.122
Hg: 0.188 0.676 0.211
Hg: 0.324 0.812 0.289
Hg: 0.469 0.947 0.378
Hg: 0.531 0.053 0.622
Hg: 0.676 0.188 0.711
Hg: 0.812 0.324 0.789
Hg: 0.947 0.469 0.878
F: 0.014 0.899 0.850
F: 0.033 0.222 0.395
F: 0.072 0.128 0.542
F: 0.101 0.986 0.650
F: 0.111 0.548 0.900
F: 0.112 0.258 0.257
F: 0.128 0.072 0.042
F: 0.152 0.317 0.616
F: 0.153 0.514 0.343
F: 0.203 0.392 0.494
F: 0.222 0.033 0.895
F: 0.244 0.698 0.015
F: 0.258 0.112 0.757
F: 0.282 0.502 0.788
F: 0.288 0.585 0.567
F: 0.302 0.756 0.485
F: 0.317 0.152 0.116
F: 0.392 0.203 0.994
F: 0.415 0.712 0.933
F: 0.452 0.889 0.600
F: 0.486 0.847 0.157
F: 0.498 0.718 0.712
F: 0.502 0.282 0.288
F: 0.514 0.153 0.843
F: 0.548 0.111 0.400
F: 0.585 0.288 0.067
F: 0.608 0.797 0.006
F: 0.683 0.848 0.884
F: 0.698 0.244 0.515
F: 0.712 0.415 0.433
F: 0.718 0.498 0.212
F: 0.742 0.888 0.243
F: 0.756 0.302 0.985
F: 0.778 0.967 0.105
F: 0.797 0.608 0.506
F: 0.847 0.486 0.657
F: 0.848 0.683 0.384
F: 0.872 0.928 0.958
F: 0.888 0.742 0.743
F: 0.889 0.452 0.100
F: 0.899 0.014 0.350
F: 0.928 0.872 0.458
F: 0.967 0.778 0.605
F: 0.986 0.101 0.150

No. 10
Density functional theory data (GGA-PBEsol) for TcHg3F after structural relaxation.

Cell lengths 4.600, 4.600, 4.600 Å; angles 90.00, 90.00, 90.00 degrees
Fractional positions:
Tc: 0.000 0.000 0.000
Hg: 0.000 0.500 0.500
Hg: 0.500 0.000 0.500
Hg: 0.500 0.500 0.000
F: 0.500 0.500 0.500

No. 11
Density functional theory data (GGA-PBEsol) for HgTe2F after structural relaxation.

Cell lengths 9.856, 9.856, 9.856 Å; angles 18.93, 18.93, 18.93 degrees
Fractional positions:
Hg: 0.000 0.000 0.000
Te: 0.096 0.096 0.096
Te: 0.904 0.904 0.904
F: 0.500 0.500 0.500

No. 12
Density functional theory data (GGA-PBEsol) for HgTeWF2 after structural relaxation.

Cell lengths 4.071, 4.071, 5.738 Å; angles 90.00, 90.00, 90.00 degrees
Fractional positions:
Hg: 0.000 0.000 0.000
Te: 0.500 0.500 0.000
W: 0.000 0.000 0.500
F: 0.000 0.500 0.500
F: 0.500 0.000 0.500

No. 13
Density functional theory data (GGA-PBEsol) for YTi2HgF after structural relaxation.

Cell lengths 4.189, 4.189, 5.267 Å; angles 90.00, 90.00, 90.00 degrees
Fractional positions:
Y: 0.000 0.000 0.000
Ti: 0.000 0.500 0.500
Ti: 0.500 0.000 0.500
Hg: 0.500 0.500 0.000
F: 0.500 0.500 0.500

No. 14
Density functional theory data (GGA-PBEsol) for TlHgF2 after structural relaxation.

Cell lengths 4.564, 4.564, 4.564 Å; angles 60.00, 60.00, 60.00 degrees
Fractional positions:
Tl: 0.000 0.000 0.000
Hg: 0.500 0.500 0.500
F: 0.250 0.250 0.250
F: 0.750 0.750 0.750

No. 15
Density functional theory data (GGA-PBEsol) for TlHgW2F after structural relaxation.

Cell lengths 4.147, 4.147, 5.120 Å; angles 90.00, 90.00, 90.00 degrees
Fractional positions:
Tl: 0.000 0.000 0.000
Hg: 0.500 0.500 0.000
W: 0.000 0.500 0.500
W: 0.500 0.000 0.500
F: 0.500 0.500 0.500

No. 16
Density functional theory data (GGA-PBEsol) for ZnHg2F after structural relaxation.

Cell lengths 4.622, 4.622, 4.622 Å; angles 60.00, 60.00, 60.00 degrees
Fractional positions:
Zn: 0.000 0.000 0.000
Hg: 0.250 0.250 0.250
Hg: 0.750 0.750 0.750
F: 0.500 0.500 0.500

No. 17
Density functional theory data (GGA-PBEsol) for ZrHgF3 after structural relaxation.

Cell lengths 4.297, 4.297, 4.297 Å; angles 90.00, 90.00, 90.00 degrees
Fractional positions:
Zr: 0.000 0.000 0.000
Hg: 0.500 0.500 0.500
F: 0.000 0.000 0.500
F: 0.000 0.500 0.000
F: 0.500 0.000 0.000

No. 18
Density functional theory data (GGA-PBEsol) for Zr3HgF after structural relaxation.

Cell lengths 5.251, 5.251, 5.251 Å; angles 90.00, 90.00, 90.00 degrees
Fractional positions:
Zr: 0.000 0.000 0.500
Zr: 0.000 0.500 0.000
Zr: 0.500 0.000 0.000
Hg: 0.000 0.000 0.000
F: 0.500 0.500 0.500

No. 19
Density functional theory data (GGA-PBEsol) for KHo3F10 after structural relaxation.

Cell lengths 8.069, 8.069, 8.069 Å; angles 60.00, 60.00, 60.00 degrees
Fractional positions:
K: 0.250 0.250 0.250
K: 0.750 0.750 0.750
Ho: 0.240 0.240 0.760
Ho: 0.240 0.760 0.240
Ho: 0.240 0.760 0.760
Ho: 0.760 0.240 0.240
Ho: 0.760 0.240 0.760
Ho: 0.760 0.760 0.240
F: 0.112 0.112 0.112
F: 0.112 0.112 0.664
F: 0.112 0.664 0.112
F: 0.169 0.500 0.500
F: 0.169 0.500 0.831
F: 0.169 0.831 0.500
F: 0.336 0.888 0.888
F: 0.500 0.169 0.500
F: 0.500 0.169 0.831
F: 0.500 0.500 0.169
F: 0.500 0.500 0.831
F: 0.500 0.831 0.169
F: 0.500 0.831 0.500
F: 0.664 0.112 0.112
F: 0.831 0.169 0.500
F: 0.831 0.500 0.169
F: 0.831 0.500 0.500
F: 0.888 0.336 0.888
F: 0.888 0.888 0.336
F: 0.888 0.888 0.888

No. 20
Density functional theory data (GGA-PBEsol) for K3HoF6 after structural relaxation.

Cell lengths 6.513, 6.513, 6.513 Å; angles 60.00, 60.00, 60.00 degrees
Fractional positions:
K: 0.000 0.000 0.000
K: 0.250 0.250 0.250
K: 0.750 0.750 0.750
Ho: 0.500 0.500 0.500
F: 0.268 0.268 0.732
F: 0.268 0.732 0.268
F: 0.268 0.732 0.732
F: 0.732 0.268 0.268
F: 0.732 0.268 0.732
F: 0.732 0.732 0.268

No. 21
Density functional theory data (GGA-PBEsol) for K3HoF6 after structural relaxation.

Cell lengths 6.268, 6.518, 10.793 Å; angles 90.00, 124.30, 90.00 degrees
Fractional positions:
K: 0.000 0.000 0.000
K: 0.000 0.500 0.500
K: 0.222 0.054 0.742
K: 0.222 0.446 0.242
K: 0.778 0.554 0.758
K: 0.778 0.946 0.258
Ho: 0.500 0.000 0.500
Ho: 0.500 0.500 0.000
F: 0.173 0.179 0.450
F: 0.173 0.321 0.950
F: 0.251 0.734 0.422
F: 0.251 0.766 0.922
F: 0.397 0.063 0.277
F: 0.397 0.437 0.777
F: 0.603 0.563 0.223
F: 0.603 0.937 0.723
F: 0.749 0.234 0.078
F: 0.749 0.266 0.578
F: 0.827 0.679 0.050
F: 0.827 0.821 0.550

No. 22
Density functional theory data (GGA-PBEsol) for NaLiHo2F8 after structural relaxation.

Cell lengths 6.604, 6.604, 6.957 Å; angles 90.00, 90.00, 77.07 degrees
Fractional positions:
Na: 0.159 0.841 0.750
Na: 0.841 0.159 0.250
Li: 0.500 0.500 0.000
Li: 0.500 0.500 0.500
Ho: 0.049 0.577 0.250
Ho: 0.423 0.951 0.250
Ho: 0.577 0.049 0.750
Ho: 0.951 0.423 0.750
F: 0.109 0.891 0.250
F: 0.162 0.563 0.551
F: 0.162 0.563 0.949
F: 0.192 0.246 0.250
F: 0.246 0.192 0.750
F: 0.411 0.589 0.250
F: 0.437 0.838 0.551
F: 0.437 0.838 0.949
F: 0.563 0.162 0.051
F: 0.563 0.162 0.449
F: 0.589 0.411 0.750
F: 0.754 0.808 0.250
F: 0.808 0.754 0.750
F: 0.838 0.437 0.051
F: 0.838 0.437 0.449
F: 0.891 0.109 0.750

| no. | E (eV per atom) | total magnetic moment (μB/atom) | formation energy (no corrections) (meV per atom) |
| --- | --- | --- | --- |
| 1 | -4.362 | 0.222 | 100 |
| 2 | -5.784 | 0.362 | -1325 |
| 3 | -2.643 | 0.594 | -603 |
| 4 | -2.586 | 0.118 | -518 |
| 5 | -5.449 | 0.000 | -2430 |
| 6 | -4.059 | 0.000 | -1517 |
| 7 | -3.909 | 0.000 | -726 |
| 8 | -4.134 | 0.000 | -2514 |
| 9 | -5.925 | 0.000 | -2763 |
| 10 | -2.328 | 0.339 | 651 |
| 11 | -2.763 | 0.000 | -377 |
| 12 | -4.921 | 0.480 | -570 |
| 13 | -5.810 | 0.002 | -618 |
| 14 | -2.879 | 0.000 | -1116 |
| 15 | -5.544 | 0.000 | 1004 |
| 16 | -1.604 | 0.000 | -443 |
| 17 | -5.567 | 0.202 | -2479 |
| 18 | -4.985 | 0.304 | 968 |
| 19 | -6.557 | 0.005 | -4038 |
| 20 | -5.276 | 0.005 | -3284 |
| 21 | -5.350 | 0.029 | -3359 |
| 22 | -6.166 | 0.000 | -3776 |